Record 1
Computed, not measured: an optimized crystal structure of SrMnP2 at the GGA-PBEsol level of DFT.

Lattice parameters (Å, degrees): 3.1485 3.4114 13.4725 90.00 90.00 90.00
Space group Imm2 (No. 44)
One atom of each set of equivalent atoms:
Sr (0.0000, 0.0000, 0.0000)
Mn (0.0000, 0.5000, 0.7443)
P (0.0000, 0.0000, 0.3645)
P (0.0000, 0.5000, 0.1842)

size of the total moment	1.99	μB/f.u.
excess energy over the best structure of this formula in the dataset	219	meV per atom
formation enthalpy at 0 K	-0.346	eV/atom
calculated volume	145	Å³/cell

---

Record 2
Computed, not measured: an optimized crystal structure of SrMnP at the GGA-PBEsol level of DFT.

Lattice parameters (Å, degrees): 3.7438 3.7438 9.1692 90.00 90.00 90.00
Space group P4/nmm (No. 129, origin choice 2)
One atom of each set of equivalent atoms:
Sr (0.2500, 0.2500, 0.1964)
Mn (0.2500, 0.7500, 0.5000)
P (0.2500, 0.2500, 0.6404)

size of the total moment	1.51	μB/f.u.
formation enthalpy at 0 K	-0.737	eV/atom
calculated volume	129	Å³/cell

---

Record 3
Computed, not measured: an optimized crystal structure of SrMnP2 at the GGA-PBEsol level of DFT.

Lattice parameters (Å, degrees): 4.8982 4.8982 13.9155 90.00 90.00 90.00
Space group I4_1/amd (No. 141, origin choice 2)
One atom of each set of equivalent atoms:
Sr (0.0000, 0.2500, 0.3750)
Mn (0.0000, 0.2500, 0.8750)
P (0.0000, 0.0000, 0.0000)

size of the total moment	1.03	μB/f.u.
excess energy over the best structure of this formula in the dataset	0	meV per atom
formation enthalpy at 0 K	-0.565	eV/atom
calculated volume	334	Å³/cell